Entry 1:
The following is a DFT calculation (PBE-GGA) of Th2FeC after structural relaxation.

Computed properties:
* calculated formation energy: -0.184 eV per atom
* M_tot: 1.9 μB/cell
* relative energy among the computed polymorphs: 0 kJ/mol of formula units

Structure (POSCAR):
```
Th2FeC
1.0
1.923 -11.115 0.000
1.923 11.115 0.000
0.000 0.000 3.803
Th Fe C
4 2 2
Direct
0.076 0.924 0.750 Th
0.307 0.693 0.750 Th
0.693 0.307 0.250 Th
0.924 0.076 0.250 Th
0.468 0.532 0.750 Fe
0.532 0.468 0.250 Fe
0.192 0.808 0.750 C
0.808 0.192 0.250 C
```

---

Entry 2:
The following is a DFT calculation (PBE-GGA) of ThFe2C2 after structural relaxation.

Computed properties:
* calculated formation energy: -0.215 eV per atom
* M_tot: 0.0 μB/cell

Structure (POSCAR):
```
ThFe2C2
1.0
0.000 4.322 4.673
2.946 0.000 4.673
2.946 4.322 0.000
Th Fe C
2 4 4
Direct
0.125 0.125 0.125 Th
0.875 0.875 0.875 Th
0.244 0.244 0.506 Fe
0.494 0.494 0.756 Fe
0.506 0.506 0.244 Fe
0.756 0.756 0.494 Fe
0.194 0.556 0.194 C
0.444 0.806 0.444 C
0.556 0.194 0.556 C
0.806 0.444 0.806 C
```

---

Entry 3:
The following is a DFT calculation (PBE-GGA) of Th2FeC after structural relaxation.

Computed properties:
* calculated formation energy: 0.373 eV per atom
* M_tot: 1.3 μB/cell
* relative energy among the computed polymorphs: 215 kJ/mol of formula units

Structure (POSCAR):
```
Th2FeC
1.0
1.769 1.021 8.087
-1.769 1.021 8.087
0.000 -2.043 8.087
Th Fe C
2 1 1
Direct
0.104 0.104 0.104 Th
0.896 0.896 0.896 Th
0.000 0.000 0.000 Fe
0.500 0.500 0.500 C
```

---

Entry 4:
The following is a DFT calculation (PBE-GGA) of ThFe4C4 after structural relaxation.

Computed properties:
* calculated formation energy: 0.053 eV per atom
* M_tot: 5.8 μB/cell

Structure (POSCAR):
```
ThFe4C4
1.0
7.141 0.000 0.000
0.000 7.141 0.000
0.000 0.000 3.586
Th Fe C
2 8 8
Direct
0.250 0.250 0.250 Th
0.750 0.750 0.750 Th
0.093 0.845 0.123 Fe
0.155 0.593 0.623 Fe
0.345 0.907 0.623 Fe
0.407 0.655 0.123 Fe
0.593 0.345 0.877 Fe
0.655 0.093 0.377 Fe
0.845 0.407 0.377 Fe
0.907 0.155 0.877 Fe
0.035 0.578 0.128 C
0.078 0.965 0.628 C
0.422 0.535 0.628 C
0.465 0.922 0.128 C
0.535 0.078 0.872 C
0.578 0.465 0.372 C
0.922 0.035 0.372 C
0.965 0.422 0.872 C
```

---

Entry 5:
The following is a DFT calculation (PBE-GGA) of Th2Fe17C after structural relaxation.

Computed properties:
* calculated formation energy: -0.039 eV per atom
* M_tot: 36.3 μB/cell

Structure (POSCAR):
```
Th2Fe17C
1.0
4.850 -4.301 0.000
4.850 4.301 0.000
-0.948 0.000 6.425
Th Fe C
2 17 1
Direct
0.165 0.165 0.356 Th
0.835 0.835 0.644 Th
0.000 0.500 0.000 Fe
0.157 0.157 0.851 Fe
0.158 0.651 0.343 Fe
0.215 0.785 0.000 Fe
0.217 0.502 0.719 Fe
0.349 0.842 0.657 Fe
0.404 0.404 0.097 Fe
0.498 0.783 0.281 Fe
0.500 0.000 0.000 Fe
0.500 0.500 0.500 Fe
0.502 0.217 0.719 Fe
0.596 0.596 0.903 Fe
0.651 0.158 0.343 Fe
0.783 0.498 0.281 Fe
0.785 0.215 0.000 Fe
0.842 0.349 0.657 Fe
0.843 0.843 0.149 Fe
0.000 0.000 0.000 C
```

---

Entry 6:
The following is a DFT calculation (PBE-GGA) of ThFe2C2 after structural relaxation.

Computed properties:
* calculated formation energy: -0.217 eV per atom
* M_tot: 0.0 μB/cell

Structure (POSCAR):
```
ThFe2C2
1.0
-1.726 1.726 5.050
1.726 -1.726 5.050
1.726 1.726 -5.050
Th Fe C
1 2 2
Direct
0.000 0.000 0.000 Th
0.250 0.750 0.500 Fe
0.750 0.250 0.500 Fe
0.341 0.341 0.000 C
0.659 0.659 0.000 C
```

---

Entry 7:
The following is a DFT calculation (PBE-GGA) of Th2Fe2C3 after structural relaxation.

Computed properties:
* calculated formation energy: -0.194 eV per atom
* M_tot: 0.0 μB/cell

Structure (POSCAR):
```
Th2Fe2C3
1.0
5.051 -1.763 0.000
5.051 1.763 0.000
-1.356 0.000 5.569
Th Fe C
2 2 3
Direct
0.105 0.105 0.314 Th
0.895 0.895 0.686 Th
0.335 0.335 0.094 Fe
0.665 0.665 0.906 Fe
0.209 0.209 0.776 C
0.500 0.500 0.000 C
0.791 0.791 0.224 C
```

---

Entry 8:
The following is a DFT calculation (PBE-GGA) of ThU2FeC4 after structural relaxation.

Computed properties:
* calculated formation energy: -0.163 eV per atom
* M_tot: 0.0 μB/cell

Structure (POSCAR):
```
ThU2FeC4
1.0
1.752 -5.775 0.000
1.752 5.775 0.000
0.000 0.000 11.466
Th U Fe C
2 4 2 8
Direct
0.101 0.899 0.750 Th
0.899 0.101 0.250 Th
0.368 0.632 0.552 U
0.368 0.632 0.948 U
0.632 0.368 0.052 U
0.632 0.368 0.448 U
0.159 0.841 0.250 Fe
0.841 0.159 0.750 Fe
0.000 0.000 0.000 C
0.000 0.000 0.500 C
0.260 0.740 0.121 C
0.260 0.740 0.379 C
0.434 0.566 0.750 C
0.566 0.434 0.250 C
0.740 0.260 0.621 C
0.740 0.260 0.879 C
```

---

Entry 9:
The following is a DFT calculation (PBE-GGA) of YTh2FeC2 after structural relaxation.

Computed properties:
* calculated formation energy: -0.142 eV per atom
* M_tot: 1.9 μB/cell

Structure (POSCAR):
```
YTh2FeC2
1.0
5.730 0.000 0.000
0.000 11.114 0.000
0.000 0.000 3.726
Y Th Fe C
2 4 2 4
Direct
0.000 0.000 0.000 Y
0.500 0.500 0.500 Y
0.027 0.295 0.500 Th
0.473 0.795 0.000 Th
0.527 0.205 0.000 Th
0.973 0.705 0.500 Th
0.000 0.500 0.000 Fe
0.500 0.000 0.500 Fe
0.239 0.890 0.500 C
0.261 0.390 0.000 C
0.739 0.610 0.000 C
0.761 0.110 0.500 C
```

---

Entry 10:
The following is a DFT calculation (PBE-GGA) of Th2ZnFeC after structural relaxation.

Computed properties:
* calculated formation energy: -0.146 eV per atom
* M_tot: 0.0 μB/cell

Structure (POSCAR):
```
Th2ZnFeC
1.0
6.449 0.000 0.000
0.000 4.038 0.000
-2.940 0.000 7.800
Th Zn Fe C
4 2 2 2
Direct
0.224 0.250 0.391 Th
0.225 0.250 0.968 Th
0.775 0.750 0.032 Th
0.776 0.750 0.609 Th
0.304 0.750 0.700 Zn
0.696 0.250 0.300 Zn
0.483 0.750 0.261 Fe
0.517 0.250 0.739 Fe
0.180 0.750 0.175 C
0.820 0.250 0.825 C
```

---

Entry 11:
The following is a DFT calculation (PBE-GGA) of Ti2Fe2C after structural relaxation.

Computed properties:
* calculated formation energy: 0.049 eV per atom
* M_tot: 1.1 μB/cell
* relative energy among the computed polymorphs: 0 kJ/mol of formula units

Structure (POSCAR):
```
Ti2Fe2C
1.0
5.208 0.000 0.000
0.000 5.208 0.000
0.000 0.000 4.283
Ti Fe C
4 4 2
Direct
0.176 0.324 0.000 Ti
0.324 0.824 0.000 Ti
0.676 0.176 0.000 Ti
0.824 0.676 0.000 Ti
0.160 0.660 0.500 Fe
0.340 0.160 0.500 Fe
0.660 0.840 0.500 Fe
0.840 0.340 0.500 Fe
0.000 0.000 0.500 C
0.500 0.500 0.500 C
```

---

Entry 12:
The following is a DFT calculation (PBE-GGA) of Ti2FeC2 after structural relaxation.

Computed properties:
* calculated formation energy: 0.542 eV per atom
* M_tot: 0.0 μB/cell
* relative energy among the computed polymorphs: 132 kJ/mol of formula units

Structure (POSCAR):
```
Ti2FeC2
1.0
6.191 0.000 0.000
0.000 6.191 0.000
0.000 0.000 2.755
Ti Fe C
4 2 4
Direct
0.147 0.353 0.000 Ti
0.353 0.853 0.000 Ti
0.647 0.147 0.000 Ti
0.853 0.647 0.000 Ti
0.000 0.000 0.000 Fe
0.500 0.500 0.000 Fe
0.167 0.667 0.500 C
0.333 0.167 0.500 C
0.667 0.833 0.500 C
0.833 0.333 0.500 C
```

---

Entry 13:
The following is a DFT calculation (PBE-GGA) of TiFeC3 after structural relaxation.

Computed properties:
* calculated formation energy: 2.381 eV per atom
* M_tot: 0.1 μB/cell
* relative energy among the computed polymorphs: 425 kJ/mol of formula units

Structure (POSCAR):
```
TiFeC3
1.0
3.936 0.000 0.000
0.000 3.936 0.000
0.000 0.000 3.936
Ti Fe C
1 1 3
Direct
0.000 0.000 0.000 Ti
0.500 0.500 0.500 Fe
0.000 0.000 0.500 C
0.000 0.500 0.000 C
0.500 0.000 0.000 C
```

---

Entry 14:
The following is a DFT calculation (PBE-GGA) of TiFe3C after structural relaxation.

Computed properties:
* calculated formation energy: 2.372 eV per atom
* M_tot: 5.8 μB/cell
* relative energy among the computed polymorphs: 1255 kJ/mol of formula units

Structure (POSCAR):
```
TiFe3C
1.0
4.309 0.000 0.000
0.000 4.309 0.000
0.000 0.000 4.309
Ti Fe C
1 3 1
Direct
0.000 0.000 0.000 Ti
0.000 0.000 0.500 Fe
0.000 0.500 0.000 Fe
0.500 0.000 0.000 Fe
0.500 0.500 0.500 C
```

---

Entry 15:
The following is a DFT calculation (PBE-GGA) of Ti2Fe2C after structural relaxation.

Computed properties:
* calculated formation energy: 0.873 eV per atom
* M_tot: 0.0 μB/cell
* relative energy among the computed polymorphs: 397 kJ/mol of formula units

Structure (POSCAR):
```
Ti2Fe2C
1.0
-2.273 2.273 4.450
2.273 -2.273 4.450
2.273 2.273 -4.450
Ti Fe C
2 2 1
Direct
0.250 0.750 0.500 Ti
0.750 0.250 0.500 Ti
0.193 0.193 0.000 Fe
0.807 0.807 0.000 Fe
0.000 0.000 0.000 C
```

---

Entry 16:
The following is a DFT calculation (PBE-GGA) of Ti2FeC after structural relaxation.

Computed properties:
* calculated formation energy: -0.129 eV per atom
* M_tot: 2.1 μB/cell

Structure (POSCAR):
```
Ti2FeC
1.0
1.479 0.854 7.200
-1.479 0.854 7.200
0.000 -1.708 7.200
Ti Fe C
2 1 1
Direct
0.112 0.112 0.112 Ti
0.888 0.888 0.888 Ti
0.000 0.000 0.000 Fe
0.500 0.500 0.500 C
```

---

Entry 17:
The following is a DFT calculation (PBE-GGA) of Ti2FeC after structural relaxation.

Computed properties:
* calculated formation energy: -0.102 eV per atom
* M_tot: 2.6 μB/cell

Structure (POSCAR):
```
Ti2FeC
1.0
-3.844 3.844 1.848
3.844 -3.844 1.848
3.844 3.844 -1.848
Ti Fe C
4 2 2
Direct
0.375 0.225 0.350 Ti
0.775 0.125 0.150 Ti
0.875 0.025 0.650 Ti
0.975 0.625 0.850 Ti
0.250 0.750 0.500 Fe
0.500 0.500 0.000 Fe
0.000 0.000 0.000 C
0.750 0.250 0.500 C
```

---

Entry 18:
The following is a DFT calculation (PBE-GGA) of TiFeC3 after structural relaxation.

Computed properties:
* calculated formation energy: 1.501 eV per atom
* M_tot: 0.0 μB/cell
* relative energy among the computed polymorphs: 0 kJ/mol of formula units

Structure (POSCAR):
```
TiFeC3
1.0
3.689 0.000 0.000
0.000 3.689 0.000
0.000 0.000 3.689
Ti Fe C
1 1 3
Direct
0.000 0.000 0.000 Ti
0.500 0.500 0.500 Fe
0.000 0.500 0.500 C
0.500 0.000 0.500 C
0.500 0.500 0.000 C
```

---

Entry 19:
The following is a DFT calculation (PBE-GGA) of TiFe3C after structural relaxation.

Computed properties:
* calculated formation energy: -0.230 eV per atom
* M_tot: 0.0 μB/cell
* relative energy among the computed polymorphs: 0 kJ/mol of formula units

Structure (POSCAR):
```
TiFe3C
1.0
3.748 0.000 0.000
0.000 3.748 0.000
0.000 0.000 3.748
Ti Fe C
1 3 1
Direct
0.000 0.000 0.000 Ti
0.000 0.500 0.500 Fe
0.500 0.000 0.500 Fe
0.500 0.500 0.000 Fe
0.500 0.500 0.500 C
```

---

Entry 20:
The following is a DFT calculation (PBE-GGA) of Ti2FeC2 after structural relaxation.

Computed properties:
* calculated formation energy: 0.268 eV per atom
* M_tot: 2.9 μB/cell
* relative energy among the computed polymorphs: 0 kJ/mol of formula units

Structure (POSCAR):
```
Ti2FeC2
1.0
-1.977 1.977 4.058
1.977 -1.977 4.058
1.977 1.977 -4.058
Ti Fe C
2 1 2
Direct
0.182 0.182 0.000 Ti
0.818 0.818 0.000 Ti
0.500 0.500 0.000 Fe
0.250 0.750 0.500 C
0.750 0.250 0.500 C
```